# 1
DFT (PBE-GGA) results for a relaxed structure of ZrSb2Te.

## Properties
raw formation energy	-42	meV per atom
DOS at the Fermi energy	0.71	states/eV/atom
calculated density	7253	kg/m3
VASP energy	-20.10	eV per cell

Geometry as POSCAR:
```
ZrSb2Te
1.0
5.883 0.000 0.000
0.000 4.242 0.000
0.000 0.000 4.242
Te Sb Zr
1 2 1
Direct
0.500 0.500 0.000
0.000 0.000 0.000
0.000 0.500 0.500
0.500 0.000 0.500
```

# 2
DFT (PBE-GGA) results for a relaxed structure of PmSb.

## Properties
raw formation energy	-1187	meV per atom
DOS at the Fermi energy	0.12	states/eV/atom
calculated density	6908	kg/m3
VASP energy	-11.25	eV per cell
distance to the lowest polymorph of the same formula	0.0000	eV/atom

Geometry as POSCAR:
```
PmSb
1.0
-4.335 0.983 0.655
-3.188 -2.773 -1.528
-2.441 -2.425 2.888
Pm Sb
1 1
Direct
0.500 0.500 0.500
0.000 0.000 0.000
```

# 3
DFT (PBE-GGA) results for a relaxed structure of AcMgPb6.

## Properties
DOS at the Fermi energy	0.65	states/eV/atom
calculated density	9942	kg/m3
VASP energy	-29.14	eV per cell
ΔE_f	-0.1484	eV per atom

Geometry as POSCAR:
```
AcMgPb6
1.0
5.519 0.000 0.000
0.000 6.873 1.333
0.000 1.420 6.856
Pb Ac Mg
6 1 1
Direct
0.000 0.709 0.291
0.500 0.500 0.000
0.000 0.228 0.228
0.500 0.000 0.500
0.000 0.772 0.772
0.000 0.291 0.709
0.500 0.000 0.000
0.500 0.500 0.500
```

# 4
DFT (PBE-GGA) results for a relaxed structure of CaLa2Rh.

## Properties
DOS at the Fermi energy	1.13	states/eV/atom
calculated density	6547	kg/m3
VASP energy	-19.26	eV per cell
ΔE_f	-0.0119	eV per atom
distance to the lowest polymorph of the same formula	0.3922	eV/atom

Geometry as POSCAR:
```
CaLa2Rh
1.0
5.324 0.000 0.000
2.662 4.611 0.000
2.662 1.537 4.347
La Rh Ca
2 1 1
Direct
0.250 0.250 0.250
0.000 0.000 0.000
0.750 0.750 0.750
0.500 0.500 0.500
```

# 5
DFT (PBE-GGA) results for a relaxed structure of CrIn.

## Properties
DOS at the Fermi energy	0.97	states/eV/atom
calculated density	7106	kg/m3
VASP energy	-68.90	eV per cell
ΔE_f	0.4390	eV per atom

Geometry as POSCAR:
```
CrIn
1.0
-3.684 4.607 -5.079
-0.907 -7.721 -0.382
-3.481 0.272 2.771
Cr In
6 6
Direct
0.431 0.862 0.250
0.431 0.569 0.250
0.862 0.431 0.750
0.138 0.569 0.250
0.569 0.138 0.750
0.569 0.431 0.750
0.807 0.193 0.250
0.193 0.385 0.750
0.385 0.193 0.250
0.615 0.807 0.750
0.193 0.807 0.750
0.807 0.615 0.250
```

# 6
DFT (PBE-GGA) results for a relaxed structure of Tb2HfZrAs4.

## Properties
DOS at the Fermi energy	0.51	states/eV/atom
calculated density	8238	kg/m3
VASP energy	-56.69	eV per cell
ΔE_f	-1.2907	eV per atom

Geometry as POSCAR:
```
Tb2HfZrAs4
1.0
-0.603 -0.384 3.901
5.108 -4.595 0.338
2.569 6.373 1.024
As Tb Hf Zr
4 2 1 1
Direct
0.000 0.258 0.767
0.500 0.247 0.234
0.500 0.753 0.766
0.000 0.742 0.233
0.500 0.000 0.500
0.000 0.500 0.500
0.500 0.500 0.000
0.000 0.000 0.000
```